La2ZnHAu after structural relaxation. Source: Alexandria via LeMat-Bulk, functional PBE.

Calculated values
As for the magnetic moment: 0.30 μB per formula unit. As for the excess energy over the best structure of this formula in the dataset: 39 meV per atom. As for the volume: 110 Å³/cell.

Lattice parameters (Å, degrees): 5.1750 5.1750 4.0976 90.00 90.00 90.00
Positions (direct):
La  0.0000  0.5000  0.0000
La  0.5000  0.0000  0.0000
Zn  0.0000  0.0000  0.5000
H  0.5000  0.5000  0.0000
Au  0.5000  0.5000  0.5000